First-principles (PBE) data for a geometry-optimized La3TbY6Th2 structure, as listed in Alexandria.

a = 6.266 Å, b = 6.266 Å, c = 11.896 Å
α = 95.05°, β = 95.05°, γ = 119.98°
Positions (direct):
1 La 0.000 0.000 0.000
2 La 0.334 0.666 0.000
3 La 0.666 0.334 0.000
4 Tb 0.500 0.500 0.500
5 Y 0.082 0.419 0.257
6 Y 0.243 0.243 0.743
7 Y 0.419 0.082 0.257
8 Y 0.581 0.918 0.743
9 Y 0.757 0.757 0.257
10 Y 0.918 0.581 0.743
11 Th 0.167 0.833 0.500
12 Th 0.833 0.167 0.500


First-principles (PBE) data for a geometry-optimized La3Tb6Y2Th structure, as listed in Alexandria.

a = 6.252 Å, b = 6.252 Å, c = 11.952 Å
α = 95.01°, β = 95.01°, γ = 119.99°
Positions (direct):
1 La 0.000 0.000 0.000
2 La 0.333 0.667 0.000
3 La 0.667 0.333 0.000
4 Tb 0.089 0.418 0.255
5 Tb 0.252 0.252 0.745
6 Tb 0.418 0.089 0.255
7 Tb 0.582 0.911 0.745
8 Tb 0.748 0.748 0.255
9 Tb 0.911 0.582 0.745
10 Y 0.167 0.833 0.500
11 Y 0.833 0.167 0.500
12 Th 0.500 0.500 0.500


First-principles (PBE) data for a geometry-optimized La2Tb2Y6Th structure, as listed in Alexandria.

a = 6.114 Å, b = 6.114 Å, c = 11.227 Å
α = 92.36°, β = 92.36°, γ = 115.73°
Positions (direct):
1 La 0.158 0.842 0.000
2 La 0.842 0.158 0.000
3 Tb 0.214 0.786 0.500
4 Tb 0.786 0.214 0.500
5 Y 0.119 0.451 0.754
6 Y 0.253 0.253 0.299
7 Y 0.451 0.119 0.754
8 Y 0.549 0.881 0.246
9 Y 0.747 0.747 0.701
10 Y 0.881 0.549 0.246
11 Th 0.500 0.500 0.000


First-principles (PBE) data for a geometry-optimized La2Tb2Y4Th structure, as listed in Alexandria.

a = 9.646 Å, b = 9.646 Å, c = 9.634 Å
α = 115.41°, β = 115.41°, γ = 21.71°
Positions (direct):
1 La 0.163 0.163 0.000
2 La 0.837 0.837 0.000
3 Tb 0.353 0.353 0.338
4 Tb 0.647 0.647 0.662
5 Y 0.019 0.019 0.330
6 Y 0.316 0.316 0.665
7 Y 0.684 0.684 0.335
8 Y 0.981 0.981 0.670
9 Th 0.500 0.500 0.000


First-principles (PBE) data for a geometry-optimized La5TbY2Th structure, as listed in Alexandria.

a = 11.269 Å, b = 11.269 Å, c = 10.700 Å
α = 90.00°, β = 90.00°, γ = 151.63°
Positions (direct):
1 La 0.000 0.000 0.000
2 La 0.000 0.000 0.500
3 La 0.127 0.873 0.750
4 La 0.223 0.777 0.058
5 La 0.223 0.777 0.442
6 La 0.498 0.502 0.250
7 La 0.502 0.498 0.750
8 La 0.777 0.223 0.558
9 La 0.777 0.223 0.942
10 La 0.873 0.127 0.250
11 Tb 0.103 0.897 0.250
12 Tb 0.897 0.103 0.750
13 Y 0.388 0.612 0.507
14 Y 0.388 0.612 0.993
15 Y 0.612 0.388 0.007
16 Y 0.612 0.388 0.493
17 Th 0.286 0.714 0.750
18 Th 0.714 0.286 0.250


First-principles (PBE) data for a geometry-optimized LaTb5Y2Th structure, as listed in Alexandria.

a = 10.331 Å, b = 10.331 Å, c = 10.588 Å
α = 90.00°, β = 90.00°, γ = 148.18°
Positions (direct):
1 La 0.084 0.916 0.500
2 La 0.916 0.084 0.000
3 Tb 0.021 0.979 0.788
4 Tb 0.113 0.887 0.077
5 Tb 0.206 0.794 0.758
6 Tb 0.221 0.779 0.366
7 Tb 0.483 0.517 0.078
8 Tb 0.517 0.483 0.578
9 Tb 0.779 0.221 0.866
10 Tb 0.794 0.206 0.258
11 Tb 0.887 0.113 0.577
12 Tb 0.979 0.021 0.288
13 Y 0.387 0.613 0.370
14 Y 0.388 0.612 0.786
15 Y 0.612 0.388 0.286
16 Y 0.613 0.387 0.870
17 Th 0.297 0.703 0.064
18 Th 0.703 0.297 0.564


First-principles (PBE) data for a geometry-optimized La2Tb6Y3Th structure, as listed in Alexandria.

a = 6.240 Å, b = 6.240 Å, c = 11.883 Å
α = 95.02°, β = 95.02°, γ = 119.97°
Positions (direct):
1 La 0.167 0.833 0.000
2 La 0.833 0.167 0.000
3 Tb 0.087 0.416 0.749
4 Tb 0.256 0.256 0.251
5 Tb 0.416 0.087 0.749
6 Tb 0.584 0.913 0.251
7 Tb 0.744 0.744 0.749
8 Tb 0.913 0.584 0.251
9 Y 0.000 0.000 0.500
10 Y 0.333 0.667 0.500
11 Y 0.667 0.333 0.500
12 Th 0.500 0.500 0.000


First-principles (PBE) data for a geometry-optimized La2Tb3Y6Th structure, as listed in Alexandria.

a = 6.252 Å, b = 6.252 Å, c = 11.836 Å
α = 95.05°, β = 95.05°, γ = 119.97°
Positions (direct):
1 La 0.167 0.833 0.000
2 La 0.833 0.167 0.000
3 Tb 0.000 0.000 0.500
4 Tb 0.333 0.667 0.500
5 Tb 0.667 0.333 0.500
6 Y 0.087 0.416 0.749
7 Y 0.256 0.256 0.251
8 Y 0.416 0.087 0.749
9 Y 0.584 0.913 0.251
10 Y 0.744 0.744 0.749
11 Y 0.913 0.584 0.251
12 Th 0.500 0.500 0.000


First-principles (PBE) data for a geometry-optimized La6TbY2Th structure, as listed in Alexandria.

a = 9.122 Å, b = 9.122 Å, c = 9.179 Å
α = 91.21°, β = 91.21°, γ = 113.11°
Positions (direct):
1 La 0.047 0.474 0.691
2 La 0.067 0.787 0.899
3 La 0.213 0.933 0.601
4 La 0.278 0.577 0.087
5 La 0.423 0.722 0.413
6 La 0.474 0.047 0.191
7 La 0.526 0.953 0.809
8 La 0.577 0.278 0.587
9 La 0.722 0.423 0.913
10 La 0.787 0.067 0.399
11 La 0.933 0.213 0.101
12 La 0.953 0.526 0.309
13 Tb 0.074 0.926 0.250
14 Tb 0.926 0.074 0.750
15 Y 0.207 0.294 0.432
16 Y 0.294 0.207 0.932
17 Y 0.706 0.793 0.068
18 Y 0.793 0.706 0.568
19 Th 0.436 0.564 0.750
20 Th 0.564 0.436 0.250


First-principles (PBE) data for a geometry-optimized La2TbYTh structure, as listed in Alexandria.

a = 9.115 Å, b = 6.365 Å, c = 6.548 Å
α = 90.00°, β = 108.19°, γ = 90.00°
Positions (direct):
1 La 0.183 0.197 0.337
2 La 0.183 0.803 0.837
3 La 0.817 0.197 0.163
4 La 0.817 0.803 0.663
5 Tb 0.000 0.331 0.750
6 Tb 0.000 0.669 0.250
7 Y 0.500 0.009 0.750
8 Y 0.500 0.991 0.250
9 Th 0.500 0.500 0.000
10 Th 0.500 0.500 0.500


First-principles (PBE) data for a geometry-optimized La3Tb6YTh2 structure, as listed in Alexandria.

a = 6.255 Å, b = 6.255 Å, c = 11.910 Å
α = 95.03°, β = 95.03°, γ = 119.98°
Positions (direct):
1 La 0.000 0.000 0.000
2 La 0.334 0.666 0.000
3 La 0.666 0.334 0.000
4 Tb 0.081 0.419 0.257
5 Tb 0.243 0.243 0.743
6 Tb 0.419 0.081 0.257
7 Tb 0.581 0.919 0.743
8 Tb 0.757 0.757 0.257
9 Tb 0.919 0.581 0.743
10 Y 0.500 0.500 0.500
11 Th 0.167 0.833 0.500
12 Th 0.833 0.167 0.500


First-principles (PBE) data for a geometry-optimized LaTbThZn structure, as listed in Alexandria.

a = 3.623 Å, b = 3.623 Å, c = 8.751 Å
α = 90.00°, β = 90.00°, γ = 90.00°
Positions (direct):
1 La 0.000 0.000 0.000
2 Tb 0.000 0.000 0.435
3 Th 0.500 0.500 0.711
4 Zn 0.500 0.500 0.236


First-principles (PBE) data for a geometry-optimized LaTbThZr structure, as listed in Alexandria.

a = 5.548 Å, b = 5.548 Å, c = 5.548 Å
α = 60.00°, β = 60.00°, γ = 60.00°
Positions (direct):
1 La 0.000 0.000 0.000
2 Tb 0.750 0.750 0.750
3 Th 0.500 0.500 0.500
4 Zr 0.250 0.250 0.250


First-principles (PBE) data for a geometry-optimized LaTb2Ti structure, as listed in Alexandria.

a = 12.091 Å, b = 12.091 Å, c = 12.091 Å
α = 16.13°, β = 16.13°, γ = 16.13°
Positions (direct):
1 La 0.000 0.000 0.000
2 Tb 0.418 0.418 0.418
3 Tb 0.582 0.582 0.582
4 Ti 0.500 0.500 0.500


First-principles (PBE) data for a geometry-optimized LaTb2Tl structure, as listed in Alexandria.

Energy above the most stable polymorph in this dataset in meV/atom: 11.8

a = 3.683 Å, b = 3.683 Å, c = 9.156 Å
α = 90.00°, β = 90.00°, γ = 90.00°
Positions (direct):
1 La 0.000 0.000 0.000
2 Tb 0.500 0.500 0.278
3 Tb 0.500 0.500 0.722
4 Tl 0.000 0.000 0.500


First-principles (PBE) data for a geometry-optimized LaTb8Tl6 structure, as listed in Alexandria.

a = 8.403 Å, b = 8.403 Å, c = 8.403 Å
α = 66.58°, β = 66.58°, γ = 66.58°
Positions (direct):
1 La 0.000 0.000 0.000
2 Tb 0.112 0.780 0.438
3 Tb 0.220 0.562 0.888
4 Tb 0.332 0.332 0.332
5 Tb 0.438 0.112 0.780
6 Tb 0.562 0.888 0.220
7 Tb 0.668 0.668 0.668
8 Tb 0.780 0.438 0.112
9 Tb 0.888 0.220 0.562
10 Tl 0.064 0.406 0.721
11 Tl 0.279 0.936 0.594
12 Tl 0.406 0.721 0.064
13 Tl 0.594 0.279 0.936
14 Tl 0.721 0.064 0.406
15 Tl 0.936 0.594 0.279


First-principles (PBE) data for a geometry-optimized La2Tb3Tl4 structure, as listed in Alexandria.

Energy above the most stable polymorph in this dataset in meV/atom: 0.0

a = 5.381 Å, b = 5.381 Å, c = 10.899 Å
α = 90.12°, β = 90.12°, γ = 60.08°
Positions (direct):
1 La 0.167 0.167 0.280
2 La 0.833 0.833 0.720
3 Tb 0.166 0.166 0.926
4 Tb 0.500 0.500 0.500
5 Tb 0.834 0.834 0.074
6 Tl 0.166 0.166 0.602
7 Tl 0.500 0.500 0.147
8 Tl 0.500 0.500 0.853
9 Tl 0.834 0.834 0.398


First-principles (PBE) data for a geometry-optimized LaTb4Tl2 structure, as listed in Alexandria.

Energy above the most stable polymorph in this dataset in meV/atom: 0.0

a = 9.312 Å, b = 9.312 Å, c = 5.207 Å
α = 90.00°, β = 90.00°, γ = 90.00°
Positions (direct):
1 La 0.000 0.000 0.000
2 La 0.500 0.500 0.500
3 Tb 0.090 0.344 0.500
4 Tb 0.156 0.590 0.000
5 Tb 0.344 0.090 0.500
6 Tb 0.410 0.844 0.000
7 Tb 0.590 0.156 0.000
8 Tb 0.656 0.910 0.500
9 Tb 0.844 0.410 0.000
10 Tb 0.910 0.656 0.500
11 Tl 0.222 0.778 0.500
12 Tl 0.278 0.278 0.000
13 Tl 0.722 0.722 0.000
14 Tl 0.778 0.222 0.500


First-principles (PBE) data for a geometry-optimized La3Tb2Tl4 structure, as listed in Alexandria.

Energy above the most stable polymorph in this dataset in meV/atom: 0.0

a = 5.460 Å, b = 5.460 Å, c = 10.652 Å
α = 90.09°, β = 90.09°, γ = 59.94°
Positions (direct):
1 La 0.000 0.000 0.000
2 La 0.333 0.333 0.423
3 La 0.667 0.667 0.577
4 Tb 0.334 0.334 0.782
5 Tb 0.666 0.666 0.218
6 Tl 0.001 0.001 0.659
7 Tl 0.333 0.333 0.103
8 Tl 0.667 0.667 0.897
9 Tl 0.999 0.999 0.341


First-principles (PBE) data for a geometry-optimized La2Tb8Tl structure, as listed in Alexandria.

a = 9.465 Å, b = 9.465 Å, c = 7.947 Å
α = 104.58°, β = 104.58°, γ = 30.68°
Positions (direct):
1 La 0.221 0.221 0.133
2 La 0.779 0.779 0.867
3 Tb 0.043 0.043 0.225
4 Tb 0.134 0.134 0.674
5 Tb 0.321 0.321 0.593
6 Tb 0.412 0.412 0.058
7 Tb 0.588 0.588 0.942
8 Tb 0.679 0.679 0.407
9 Tb 0.866 0.866 0.326
10 Tb 0.957 0.957 0.775
11 Tl 0.500 0.500 0.500


First-principles (PBE) data for a geometry-optimized La8Tb2Tl structure, as listed in Alexandria.

Energy above the most stable polymorph in this dataset in meV/atom: 53.9

a = 8.522 Å, b = 8.522 Å, c = 5.599 Å
α = 90.06°, β = 90.06°, γ = 103.62°
Positions (direct):
1 La 0.000 0.000 0.000
2 La 0.330 0.330 0.000
3 La 0.370 0.641 0.499
4 La 0.410 0.920 0.000
5 La 0.641 0.370 0.499
6 La 0.689 0.961 0.501
7 La 0.920 0.410 0.000
8 La 0.961 0.689 0.501
9 Tb 0.044 0.286 0.500
10 Tb 0.286 0.044 0.500
11 Tl 0.665 0.665 0.000


no.,energy relative to the elements (meV per atom),VASP energy (eV/atom)
1,18,-6.0683
2,23,-5.2201
3,178,-5.7598
4,-2,-5.8228
5,127,-5.3861
6,164,-5.2165
7,30,-5.3409
8,28,-5.8013
9,132,-5.3224
10,330,-5.3442
11,21,-5.3017
12,-149,-4.7122
13,168,-6.2137
14,448,-5.0729
15,-176,-4.3144
16,-143,-3.8873
17,-308,-3.9981
18,-142,-4.1683
19,-327,-4.0503
20,-26,-4.5043
21,50,-4.5909